1.
First-principles (PBE-GGA) data for crystalline Sc6TlPb at its relaxed geometry, as listed in the Alexandria database.

Its polymorph energy (0 for the lowest one) is 0.24 eV per formula unit. The density of states at the Fermi level comes out at 1.19 states/eV per atom. Its total magnetization is 0.244 μB per atom.

The structure belongs to space group Pm-3 (No. 200); the cell edges are 5.7219, 5.7219 and 5.7219 Å and the angles 90.00°, 90.00° and 90.00°. The inequivalent atoms are Sc at (0.0000, 0.2513, 0.5000), Tl at (0.5000, 0.5000, 0.5000) and Pb at (0.0000, 0.0000, 0.0000).



2.
First-principles (PBE-GGA) data for crystalline Sc4Tl3Pb at its relaxed geometry, as listed in the Alexandria database.

The density of states at the Fermi level comes out at 0.61 states/eV per atom. Its total magnetization is 0.000 μB per atom.

The structure belongs to space group I4/mmm (No. 139); the cell edges are 5.1199, 5.1199 and 14.5135 Å and the angles 90.00°, 90.00° and 90.00°. The inequivalent atoms are Sc at (0.0000, 0.5000, 0.1259), Tl at (0.0000, 0.0000, 0.0000), Tl at (0.0000, 0.0000, 0.2470) and Pb at (0.0000, 0.0000, 0.5000).



3.
First-principles (PBE-GGA) data for crystalline ScTlPb at its relaxed geometry, as listed in the Alexandria database.

Its polymorph energy (0 for the lowest one) is 0.10 eV per formula unit. The density of states at the Fermi level comes out at 0.77 states/eV per atom. Its total magnetization is 0.000 μB per atom.

The structure belongs to space group Pm (No. 6); the cell edges are 5.5782, 3.4945 and 8.0718 Å and the angles 90.00°, 94.65° and 90.00°. The inequivalent atoms are Sc at (0.0000, 0.0000, 0.0000), Sc at (0.3426, 0.0000, 0.6264), Tl at (0.4853, 0.5000, 0.9573), Tl at (0.6686, 0.0000, 0.3054), Pb at (0.1726, 0.5000, 0.3143) and Pb at (0.8438, 0.5000, 0.6698).



4.
First-principles (PBE-GGA) data for crystalline ScTlPb at its relaxed geometry, as listed in the Alexandria database.

Its polymorph energy (0 for the lowest one) is 0.07 eV per formula unit. The density of states at the Fermi level comes out at 0.81 states/eV per atom. Its total magnetization is 0.000 μB per atom.

The structure belongs to space group P2/m (No. 10); the cell edges are 5.4928, 3.4671 and 8.2406 Å and the angles 90.00°, 93.12° and 90.00°. The inequivalent atoms are Sc at (0.1779, 0.0000, 0.3114), Tl at (0.0000, 0.5000, 0.0000), Tl at (0.5000, 0.0000, 0.0000) and Pb at (0.3154, 0.5000, 0.6468).



5.
First-principles (PBE-GGA) data for crystalline ScTlPb at its relaxed geometry, as listed in the Alexandria database.

Its polymorph energy (0 for the lowest one) is 0.40 eV per formula unit. The density of states at the Fermi level comes out at 1.20 states/eV per atom. Its total magnetization is 0.025 μB per atom.

The structure belongs to space group I4mm (No. 107); the cell edges are 3.6907, 3.6907 and 11.6368 Å and the angles 90.00°, 90.00° and 90.00°. The inequivalent atoms are Sc at (0.0000, 0.0000, 0.0000), Tl at (0.0000, 0.0000, 0.6500) and Pb at (0.0000, 0.0000, 0.3383).



6.
First-principles (PBE-GGA) data for crystalline ScTlPb at its relaxed geometry, as listed in the Alexandria database.

Its polymorph energy (0 for the lowest one) is 0.39 eV per formula unit. The density of states at the Fermi level comes out at 0.81 states/eV per atom. Its total magnetization is 0.000 μB per atom.

The structure belongs to space group Fmm2 (No. 42); the cell edges are 4.7742, 5.6521 and 11.7355 Å and the angles 90.00°, 90.00° and 90.00°. The inequivalent atoms are Sc at (0.0000, 0.0000, 0.0000), Tl at (0.0000, 0.0000, 0.3431) and Pb at (0.0000, 0.0000, 0.6624).



no.,V (Å³/cell),formation energy (meV per atom)
1,187.3,-215
2,380.5,-256
3,156.8,-161
4,156.7,-173
5,158.5,-64
6,316.7,-67